The following is a DFT calculation (PBE with a Hubbard U) of a relaxed structure of MgCrI2O.

Cell and atoms, written as POSCAR:
```
MgCrI2O
1.0
-1.478 -3.891 -4.112
4.481 1.793 -3.307
2.241 -2.582 1.637
O I Cr Mg
1 2 1 1
Direct
0.000 0.000 0.500 O
0.000 0.500 0.000 I
0.500 0.000 0.000 I
0.500 0.500 0.500 Cr
0.000 0.000 0.000 Mg
```

Results
The value obtained for the density of states at the Fermi level is 6.65 states/eV/cell. The value obtained for the uncorrected energy is -3.939 eV/atom. The calculation puts the energy relative to the lowest polymorph listed for this composition at 86 meV/atom. The space group is No. 123. The crystal system is tetragonal.